Ba2TaCo | PBE | relaxed

Cell and atoms, written as CIF:
```
data_Ba2TaCo
_cell_length_a 4.598
_cell_length_b 4.598
_cell_length_c 10.308
_cell_angle_alpha 90.00
_cell_angle_beta 90.00
_cell_angle_gamma 90.00
_symmetry_space_group_name_H-M 'I 4/m m m'
_symmetry_Int_Tables_number 139
_symmetry_space_group_name_Hall '-I 4 2'
loop_
_atom_site_label
_atom_site_type_symbol
_atom_site_fract_x
_atom_site_fract_y
_atom_site_fract_z
_atom_site_occupancy
Ba1 Ba 0.000 0.500 0.250 1
Ta1 Ta 0.000 0.000 0.000 1
Co1 Co 0.000 0.000 0.500 1
```

DFT total energy: -34.683 eV/cell
Energy relative to the elements: 1366 meV per atom
DOS(E_F): 13.83 states/eV/cell
Volume: 218 Å³/cell

***

BaTa2Co | PBE | relaxed

Cell and atoms, written as CIF:
```
data_BaTa2Co
_cell_length_a 3.230
_cell_length_b 3.230
_cell_length_c 8.274
_cell_angle_alpha 90.00
_cell_angle_beta 90.00
_cell_angle_gamma 90.00
_symmetry_space_group_name_H-M 'P 4/m m m'
_symmetry_Int_Tables_number 123
_symmetry_space_group_name_Hall '-P 4 2'
loop_
_atom_site_label
_atom_site_type_symbol
_atom_site_fract_x
_atom_site_fract_y
_atom_site_fract_z
_atom_site_occupancy
Ba1 Ba 0.000 0.000 0.000 1
Ta1 Ta 0.500 0.500 0.341 1
Co1 Co 0.000 0.000 0.500 1
```

DFT total energy: -30.166 eV/cell
Energy relative to the elements: 642 meV per atom
DOS(E_F): 4.67 states/eV/cell
Volume: 86 Å³/cell

***

BaTa2Co | PBE | relaxed

Cell and atoms, written as CIF:
```
data_BaTa2Co
_cell_length_a 2.967
_cell_length_b 5.240
_cell_length_c 10.906
_cell_angle_alpha 90.00
_cell_angle_beta 90.00
_cell_angle_gamma 90.00
_symmetry_space_group_name_H-M 'I m m m'
_symmetry_Int_Tables_number 71
_symmetry_space_group_name_Hall '-I 2 2'
loop_
_atom_site_label
_atom_site_type_symbol
_atom_site_fract_x
_atom_site_fract_y
_atom_site_fract_z
_atom_site_occupancy
Ba1 Ba 0.000 0.000 0.000 1
Ta1 Ta 0.000 0.500 0.197 1
Co1 Co 0.000 0.000 0.500 1
```

DFT total energy: -59.413 eV/cell
Energy relative to the elements: 757 meV per atom
DOS(E_F): 8.45 states/eV/cell
Volume: 170 Å³/cell